Entry from the Alexandria database: KCr2FeO8 after structural relaxation (PBE with a Hubbard U).

Values from the calculation:
E_tot   -6.53 eV/atom
Crystal system   monoclinic
Density of states at the Fermi level   0.0 states/eV/f.u.
V   194 Å³/f.u.

Cell lengths 5.2638, 5.2638, 7.8447 Å; angles 92.73, 92.73, 63.65 degrees
Last column: nearest neighbours and their distance in Å.
Sites, in units of the cell vectors:
K (0.0000, 0.0000, 0.0000)  6 O 2.86-2.92
Cr (0.3654, 0.3654, 0.7080)  4 O 1.62-1.69
Cr (0.6346, 0.6346, 0.2920)  4 O 1.62-1.69
Fe (0.0000, 0.0000, 0.5000)  6 O 2.01
O (0.2199, 0.2199, 0.5671)  1 Cr 1.66
O (0.2196, 0.7196, 0.6810)  1 Cr 1.69
O (0.2804, 0.7804, 0.3190)  1 Cr 1.69
O (0.3107, 0.3107, 0.9018)  1 Cr 1.62
O (0.6893, 0.6893, 0.0982)  1 Cr 1.62
O (0.7196, 0.2196, 0.6810)  1 Cr 1.69
O (0.7804, 0.2804, 0.3190)  1 Cr 1.69
O (0.7801, 0.7801, 0.4329)  1 Cr 1.66